Compound: GdDyGaOs
Source: the Alexandria database
Functional: PBE
Structure: optimized geometry

For the density of states at the Fermi level, the calculation gives 0.6772 states/eV/atom. As for the space group: F-43m, No. 216. The volume comes out at 86 Å³ per cell. The formation energy is -0.33 eV/atom.

Lattice parameters (Å, degrees): 4.948 4.948 4.948 60.00 60.00 60.00
Last column: magnetic moment on the atom in μB.
Element x y z (fractional)
Gd: 0.500 0.500 0.500  7.00
Dy: 0.000 0.000 0.000  0.01
Ga: 0.250 0.250 0.250  0.00
Os: 0.750 0.750 0.750  -0.10

Compound: Sc8Te4P3S
Source: the Alexandria database
Functional: PBE
Structure: optimized geometry

For the density of states at the Fermi level, the calculation gives 0.4682 states/eV/atom. As for the space group: R-3m, No. 166. The volume comes out at 349 Å³ per cell. The value obtained for the energy relative to the elements, uncorrected is -1.4293 eV/atom.

Lattice parameters (Å, degrees): 7.776 8.034 7.776 118.94 120.00 90.00
Element x y z (fractional)
Te: 0.500 0.000 0.500
Te: 0.000 0.000 0.500
Te: 0.500 0.000 0.000
Te: 0.000 0.000 0.000
P: 0.000 0.500 0.500
P: 0.500 0.500 0.500
P: 0.500 0.500 0.000
Sc: 0.265 0.295 0.530
Sc: 0.764 0.297 0.033
Sc: 0.270 0.297 0.033
Sc: 0.237 0.704 0.473
Sc: 0.730 0.703 0.967
Sc: 0.763 0.296 0.527
Sc: 0.236 0.703 0.967
Sc: 0.735 0.705 0.470
S: 0.000 0.500 0.000